(1)
VASP calculation (PBE-GGA) on a relaxed CdIn2Pt crystal.

abc: 5.0594 5.0594 4.9120
angles: 101.83 101.83 44.04
Positions (direct):
Cd (0.0000, 0.0000, 0.0000)
In (0.5250, 0.5250, 0.5554)
In (0.7588, 0.7588, 0.2501)
Pt (0.2561, 0.2561, 0.7478)

Summary:
Energy relative to the elements   -0.124 eV per atom
Size of the total moment   0.0 μB per cell
Electronic total energy   -12.9 eV per cell

(2)
VASP calculation (PBE-GGA) on a relaxed Cd2InPt crystal.

abc: 5.1086 5.1086 4.6714
angles: 108.71 108.71 44.96
Positions (direct):
Cd (0.0000, 0.0000, 0.0000)
Cd (0.2413, 0.2413, 0.7612)
In (0.7668, 0.7668, 0.3065)
Pt (0.4981, 0.4981, 0.4834)

Summary:
Energy relative to the elements   -0.142 eV per atom
Size of the total moment   0.0 μB per cell
Electronic total energy   -11.2 eV per cell

(3)
VASP calculation (PBE-GGA) on a relaxed CdIn2Pt crystal.

abc: 4.3202 4.3228 5.0460
angles: 108.36 108.40 92.16
Positions (direct):
Cd (0.0000, 0.0000, 0.0000)
In (0.4790, 0.5213, 0.0001)
In (0.7498, 0.2486, 0.4999)
Pt (0.2460, 0.7503, 0.4988)

Summary:
Energy relative to the elements   -0.097 eV per atom
Size of the total moment   0.0 μB per cell
Electronic total energy   -12.8 eV per cell